PBE+U SrZnCr2O8, relaxed; total moment = 0.00 Bohr magnetons per cell; electronic total energy = -6.367 eV/atom
1.0
5.0247 0.0000 0.0000
2.5123 4.3515 0.0000
2.5123 1.4505 7.2197
Cr O Sr Zn
2 8 1 1
direct
0.7468 0.7468 0.7596
0.2532 0.2532 0.2404
0.8236 0.8236 0.5293
0.7300 0.0398 0.8260
0.4042 0.7300 0.8260
0.0398 0.4042 0.8260
0.1764 0.1764 0.4707
0.5958 0.2700 0.1740
0.2700 0.9602 0.1740
0.9602 0.5958 0.1740
0.5000 0.5000 0.5000
0.0000 0.0000 0.0000